Record 1
DFT (PBE) results for crystalline ReS2N2 at its relaxed geometry.

## Properties
Volume: 83.9 Å³ per cell
M_tot: 2.178 Bohr magnetons per cell
Space group: P4/mmm
Energy above the lowest structure with this stoichiometry: 616 meV/atom

a = 4.714 Å, b = 4.714 Å, c = 3.775 Å
α = 90.00°, β = 90.00°, γ = 90.00°
Fractional coordinates of all 5 atoms:
N 0.000 0.000 0.500
Re 0.000 0.000 0.000
N 0.500 0.500 0.500
S 0.500 0.000 0.000
S 0.000 0.500 0.000

Record 2
DFT (PBE) results for crystalline ReS2N at its relaxed geometry.

## Properties
Volume: 61.6 Å³ per cell
M_tot: 1.284 Bohr magnetons per cell
Space group: R-3m

a = 6.117 Å, b = 6.117 Å, c = 6.117 Å
α = 33.34°, β = 33.34°, γ = 33.34°
Fractional coordinates of all 4 atoms:
S 0.091 0.091 0.091
S 0.909 0.909 0.909
N 0.000 0.000 0.000
Re 0.500 0.500 0.500

Record 3
DFT (PBE) results for crystalline ReSN2 at its relaxed geometry.

## Properties
Volume: 42.3 Å³ per cell
M_tot: 0.000 Bohr magnetons per cell
Space group: R-3m

a = 6.378 Å, b = 6.378 Å, c = 6.378 Å
α = 25.49°, β = 25.49°, γ = 25.49°
Fractional coordinates of all 4 atoms:
N 0.892 0.892 0.892
S 0.500 0.500 0.500
Re 0.000 0.000 0.000
N 0.108 0.108 0.108

Record 4
DFT (PBE) results for crystalline Re4SN2 at its relaxed geometry.

## Properties
Volume: 98.8 Å³ per cell
M_tot: 0.000 Bohr magnetons per cell
Space group: I4/mmm

a = 4.285 Å, b = 4.285 Å, c = 6.174 Å
α = 69.69°, β = 69.69°, γ = 90.00°
Fractional coordinates of all 7 atoms:
S 0.000 0.000 0.000
N 0.395 0.395 0.210
Re 0.778 0.778 0.444
Re 0.222 0.222 0.556
N 0.605 0.605 0.790
Re 0.500 0.000 0.000
Re 0.000 0.500 0.000

Record 5
DFT (PBE) results for crystalline ReS2N2 at its relaxed geometry.

## Properties
Volume: 74.2 Å³ per cell
M_tot: 0.331 Bohr magnetons per cell
Space group: P4/mmm
Energy above the lowest structure with this stoichiometry: 0 meV/atom

a = 3.788 Å, b = 3.788 Å, c = 5.173 Å
α = 90.00°, β = 90.00°, γ = 90.00°
Fractional coordinates of all 5 atoms:
N 0.000 0.500 0.000
S 0.500 0.500 0.500
S 0.000 0.000 0.500
Re 0.000 0.000 0.000
N 0.500 0.000 0.000

Record 6
DFT (PBE) results for crystalline ReS2N2 at its relaxed geometry.

## Properties
Volume: 55.2 Å³ per cell
M_tot: 0.000 Bohr magnetons per cell
Space group: P4/mmm
Energy above the lowest structure with this stoichiometry: 1127 meV/atom

a = 3.815 Å, b = 3.815 Å, c = 3.795 Å
α = 90.00°, β = 90.00°, γ = 90.00°
Fractional coordinates of all 5 atoms:
N 0.000 0.000 0.000
N 0.000 0.000 0.500
S 0.500 0.000 0.000
S 0.000 0.500 0.000
Re 0.500 0.500 0.500

Calculated total energy values, unit eV/atom, following the record order: -6.088; -6.639; -7.224; -8.538; -6.704; -5.577.